## FeCoGe2 (PBE)

Data for a relaxed structure of FeCoGe2.

Values from the calculation:
total DFT energy (no corrections)	-5.9253	eV/atom
total magnetic moment	0.4	μB/f.u.
DOS at the Fermi energy	4.596	states/eV/f.u.
calculated formation energy	26.6	kJ/mol of atoms

a = 2.8186 Å, b = 2.8186 Å, c = 8.4769 Å
α = 80.43°, β = 80.43°, γ = 60.00°
Closest atoms and distances in Å follow each position.
Fractional coordinates of all 4 atoms:
1 Fe 0.0000 0.0000 0.0000  6 Ge 2.47
2 Ge 0.5924 0.5924 0.2227  1 Co 2.31, 3 Fe 2.47
3 Ge 0.4076 0.4076 0.7773  1 Co 2.31, 3 Fe 2.47
4 Co 0.5000 0.5000 0.5000  2 Ge 2.31

## RbVRu2 (PBE)

Data for a relaxed structure of RbVRu2.

Values from the calculation:
total DFT energy (no corrections)	-5.8377	eV/atom
offset from the most stable computed form	0.0000	eV per atom
total magnetic moment	0.0	μB/f.u.
DOS at the Fermi energy	2.973	states/eV/f.u.
calculated formation energy	127.5	kJ/mol of atoms

a = 5.3569 Å, b = 5.3569 Å, c = 8.1789 Å
α = 70.88°, β = 70.88°, γ = 90.00°
Closest atoms and distances in Å follow each position.
Fractional coordinates of all 8 atoms:
1 V 0.2500 0.7500 0.5000  4 Ru 2.28
2 V 0.5000 0.5000 0.0000  4 Ru 2.28
3 Ru 0.3750 0.5545 0.7500  2 V 2.28
4 Ru 0.4455 0.1250 0.2500  2 V 2.28
5 Ru 0.3045 0.6250 0.2500  2 V 2.28
6 Ru 0.8750 0.6955 0.7500  2 V 2.28
7 Rb 0.7500 0.2500 0.5000  4 Ru 3.22
8 Rb 0.0000 0.0000 0.0000  4 Ru 3.22